Entry from Alexandria: a relaxed structure of SrEr2Ir (PBE).

Output
Symmetry = R-3m (166)

Cell lengths 9.755, 9.755, 9.755 Å; angles 24.38, 24.38, 24.38 degrees
Positions (direct):
Sr 0.000 0.000 0.000
Er 0.215 0.215 0.215
Er 0.785 0.785 0.785
Ir 0.500 0.500 0.500



Entry from Alexandria: a relaxed structure of ErTaIr2 (PBE).

Output
Symmetry = P4/mmm (123)

Cell lengths 4.853, 4.853, 3.021 Å; angles 90.00, 90.00, 90.00 degrees
Positions (direct):
Er 0.000 0.000 0.000
Ta 0.500 0.500 0.000
Ir 0.000 0.500 0.500
Ir 0.500 0.000 0.500



no.,total DFT energy (no corrections) (eV/cell)
1,-21.37
2,-36.41